A relaxed KNaH crystal. Source: Alexandria via LeMat-Bulk, functional PBE-GGA.

abc: 3.4513 3.4513 7.3393
angles: 103.60 103.60 90.00
Fractional positions:
1 K 0.5615 0.5615 0.1230
2 H 0.9664 0.9664 0.9327
3 Na 0.3221 0.3221 0.6442

Output
calculated total energy: -1.867 eV/atom
E above lowest polymorph: 150.2 meV per atom
symmetry: No. 107
crystal system: tetragonal

A relaxed K2NaH2 crystal. Source: Alexandria via LeMat-Bulk, functional PBE-GGA.

abc: 8.4196 8.4196 3.3858
angles: 90.00 90.00 90.00
Fractional positions:
1 H 0.1464 0.6464 0.5000
2 H 0.8536 0.3536 0.5000
3 H 0.6464 0.8536 0.5000
4 K 0.3597 0.8597 0.0000
5 K 0.8597 0.6403 0.0000
6 Na 0.5000 0.5000 0.0000
7 K 0.6403 0.1403 0.0000
8 H 0.3536 0.1464 0.5000
9 Na 0.0000 0.0000 0.0000
10 K 0.1403 0.3597 0.0000

Output
calculated total energy: -1.924 eV/atom
E above lowest polymorph: 67.4 meV per atom
symmetry: No. 127
crystal system: tetragonal

A relaxed K2NaH crystal. Source: Alexandria via LeMat-Bulk, functional PBE-GGA.

abc: 3.6675 3.6675 10.1680
angles: 90.00 90.00 90.00
Fractional positions:
1 K 0.0000 0.0000 0.8317
2 K 0.0000 0.0000 0.1683
3 H 0.5000 0.5000 0.0000
4 Na 0.5000 0.5000 0.5000

Output
calculated total energy: -1.697 eV/atom
E above lowest polymorph: 55.4 meV per atom
symmetry: No. 123
crystal system: tetragonal

A relaxed K2NaH crystal. Source: Alexandria via LeMat-Bulk, functional PBE-GGA.

abc: 4.0532 4.0532 10.5637
angles: 78.94 78.94 60.00
Fractional positions:
1 K 0.0542 0.0542 0.8372
2 K 0.2791 0.2791 0.1626
3 Na 0.5001 0.5001 0.4996
4 H 0.6665 0.6665 0.0006

Output
calculated total energy: -1.753 eV/atom
E above lowest polymorph: 0.1 meV per atom
symmetry: No. 160
crystal system: trigonal

A relaxed KNaH3 crystal. Source: Alexandria via LeMat-Bulk, functional PBE-GGA.

abc: 4.8284 4.8284 4.8284
angles: 90.00 90.00 90.00
Fractional positions:
1 K 0.0000 0.0000 0.0000
2 H 0.0000 0.0000 0.5000
3 H 0.5000 0.0000 0.0000
4 H 0.0000 0.5000 0.0000
5 Na 0.5000 0.5000 0.5000

Output
calculated total energy: -1.926 eV/atom
E above lowest polymorph: 310.3 meV per atom
symmetry: No. 221
crystal system: cubic

A relaxed K4NaH5 crystal. Source: Alexandria via LeMat-Bulk, functional PBE-GGA.

abc: 3.8591 3.8591 16.0453
angles: 83.09 83.09 60.00
Fractional positions:
1 H 0.8059 0.8059 0.5824
2 H 0.4028 0.4028 0.7915
3 K 0.2987 0.2987 0.1040
4 K 0.1040 0.1040 0.6879
5 Na 0.5000 0.5000 0.5000
6 H 0.0000 0.0000 0.0000
7 K 0.8960 0.8960 0.3121
8 K 0.7013 0.7013 0.8960
9 H 0.1941 0.1941 0.4176
10 H 0.5972 0.5972 0.2085

Output
calculated total energy: -2.438 eV/atom
symmetry: No. 166
crystal system: trigonal

A relaxed KNaH2 crystal. Source: Alexandria via LeMat-Bulk, functional PBE-GGA.

abc: 3.6733 3.6733 6.4594
angles: 73.48 73.48 60.00
Fractional positions:
1 Na 0.0000 0.0000 0.0000
2 H 0.7400 0.7400 0.7801
3 H 0.2600 0.2600 0.2199
4 K 0.5000 0.5000 0.5000

Output
calculated total energy: -2.454 eV/atom
E above lowest polymorph: 5.7 meV per atom
symmetry: No. 166
crystal system: trigonal

A relaxed K4NaH7 crystal. Source: Alexandria via LeMat-Bulk, functional PBE-GGA.

abc: 4.4324 8.0505 8.1289
angles: 84.44 74.18 74.02
Fractional positions:
1 K 0.4105 0.3444 0.8345
2 H 0.7177 0.0839 0.4807
3 H 0.8090 0.3014 0.0806
4 H 0.7897 0.0048 0.4158
5 H 0.2823 0.9161 0.5193
6 H 0.2103 0.9952 0.5842
7 K 0.5895 0.6556 0.1655
8 K 0.2444 0.2144 0.2967
9 H 0.5000 0.0000 0.0000
10 H 0.1910 0.6986 0.9194
11 Na 0.0000 0.0000 0.0000
12 K 0.7556 0.7856 0.7033

Output
calculated total energy: -2.492 eV/atom
symmetry: No. 12
crystal system: monoclinic